VASP calculation (GGA-PBE) on a relaxed YbLuSO2 crystal.

Computed properties:
**E**: -6.87 eV per atom

abc: 3.7302 3.7302 6.6739
angles: 90.00 90.00 120.00
Each line ends with the local moment (μB).
Fractional coordinates of all 5 atoms:
O (0.6667, 0.3333, 0.3785)  0.07
O (0.0000, 0.0000, 0.6396)  0.04
Yb (0.0000, 0.0000, 0.2801)  0.52
Lu (0.6667, 0.3333, 0.7065)  0.00
S (0.3333, 0.6667, 0.9953)  0.08

VASP calculation (GGA-PBE) on a relaxed Lu2Sb2O7 crystal.

Computed properties:
**Excess energy over the best structure of this formula in the dataset**: 3.3 kJ/mol of atoms

abc: 7.5444 7.5444 7.5444
angles: 119.66 120.01 90.28
Fractional coordinates of all 22 atoms:
O (0.8699, 0.3689, 0.0042)
O (0.9817, 0.9348, 0.4165)
O (0.5838, 0.6772, 0.0015)
O (0.3917, 0.9593, 0.5780)
O (0.8917, 0.3137, 0.4324)
O (0.1353, 0.6343, 0.0042)
O (0.6353, 0.6311, 0.5010)
O (0.0838, 0.0823, 0.9066)
O (0.3243, 0.3228, 0.9066)
O (0.4817, 0.0652, 0.0468)
O (0.1187, 0.6863, 0.5780)
O (0.8243, 0.9177, 0.0015)
O (0.6187, 0.0407, 0.4324)
O (0.3699, 0.3657, 0.5010)
Lu (0.2425, 0.5000, 0.7425)
Lu (0.7319, 0.5550, 0.7869)
Lu (0.2319, 0.4450, 0.1769)
Lu (0.7425, 0.0000, 0.7425)
Sb (0.7305, 0.9954, 0.2260)
Sb (0.2771, 0.0000, 0.2771)
Sb (0.7771, 0.5000, 0.2771)
Sb (0.2305, 0.0046, 0.7351)

VASP calculation (GGA-PBE) on a relaxed Lu2Sb2O7 crystal.

Computed properties:
**Excess energy over the best structure of this formula in the dataset**: 0.0 kJ/mol of atoms

abc: 7.4784 7.4784 18.2472
angles: 90.00 90.00 120.00
Fractional coordinates of all 66 atoms:
Lu (0.6796, 0.1729, 0.6563)
Lu (0.1741, 0.1741, 0.1667)
Lu (0.8525, 0.0000, 0.0000)
Lu (0.4933, 0.3204, 0.3230)
Lu (0.3204, 0.4933, 0.0104)
Lu (0.0000, 0.8525, 0.3333)
Lu (0.8259, 0.0000, 0.5000)
Lu (0.1729, 0.6796, 0.6770)
Lu (0.8271, 0.5067, 0.9896)
Lu (0.5067, 0.8271, 0.3437)
Lu (0.1475, 0.1475, 0.6667)
Lu (0.0000, 0.8259, 0.8333)
Sb (0.0000, 0.3158, 0.3333)
Sb (0.6842, 0.6842, 0.6667)
Sb (0.5024, 0.3315, 0.8335)
Sb (0.4976, 0.8291, 0.8332)
Sb (0.6883, 0.6883, 0.1667)
Sb (0.1709, 0.6685, 0.1665)
Sb (0.0000, 0.3117, 0.8333)
Sb (0.3315, 0.5024, 0.4999)
Sb (0.8291, 0.4976, 0.5001)
Sb (0.3158, 0.0000, 0.0000)
Sb (0.6685, 0.1709, 0.1668)
Sb (0.3117, 0.0000, 0.5000)
O (0.4629, 0.0619, 0.8652)
O (0.9816, 0.8029, 0.4716)
O (0.1067, 0.6588, 0.0588)
O (0.0619, 0.4629, 0.4682)
O (0.1992, 0.6934, 0.8022)
O (0.6734, 0.6834, 0.2912)
O (0.5989, 0.5371, 0.5318)
O (0.6588, 0.1067, 0.2746)
O (0.0274, 0.8572, 0.9497)
O (0.8298, 0.9726, 0.6163)
O (0.6934, 0.1992, 0.5311)
O (0.0184, 0.8213, 0.1950)
O (0.4454, 0.7504, 0.9376)
O (0.7504, 0.4454, 0.3957)
O (0.8572, 0.0274, 0.3837)
O (0.6834, 0.6734, 0.0422)
O (0.1787, 0.1971, 0.5284)
O (0.5546, 0.3051, 0.7290)
O (0.8213, 0.0184, 0.1383)
O (0.3066, 0.5058, 0.1355)
O (0.1971, 0.1787, 0.8050)
O (0.8008, 0.4942, 0.8645)
O (0.9726, 0.8298, 0.7170)
O (0.9381, 0.4011, 0.1985)
O (0.6949, 0.2496, 0.0624)
O (0.4478, 0.3412, 0.9412)
O (0.3051, 0.5546, 0.6043)
O (0.4942, 0.8008, 0.4689)
O (0.3166, 0.9899, 0.6245)
O (0.9899, 0.3166, 0.7088)
O (0.1702, 0.1428, 0.0503)
O (0.3412, 0.4478, 0.3921)
O (0.4011, 0.9381, 0.1348)
O (0.5058, 0.3066, 0.1978)
O (0.8029, 0.9816, 0.8617)
O (0.5522, 0.8933, 0.7254)
O (0.5371, 0.5989, 0.8015)
O (0.1428, 0.1702, 0.2830)
O (0.0101, 0.3266, 0.9578)
O (0.2496, 0.6949, 0.2710)
O (0.8933, 0.5522, 0.6079)
O (0.3266, 0.0101, 0.3755)

VASP calculation (GGA-PBE) on a relaxed Lu3Sb5O12 crystal.

Computed properties:
**E**: -6.95 eV per atom

abc: 9.2950 9.2950 9.2950
angles: 109.47 109.47 109.47
Fractional coordinates of all 40 atoms:
Lu (0.7500, 0.2500, 0.5000)
Lu (0.5000, 0.7500, 0.2500)
Lu (0.2500, 0.7500, 0.5000)
Lu (0.2500, 0.5000, 0.7500)
Lu (0.7500, 0.5000, 0.2500)
Lu (0.5000, 0.2500, 0.7500)
Sb (0.7164, 0.0000, 0.7164)
Sb (0.5190, 0.0000, 0.0000)
Sb (0.2836, 0.0000, 0.2836)
Sb (0.7164, 0.7164, 0.0000)
Sb (0.0000, 0.7164, 0.7164)
Sb (0.0000, 0.5190, 0.0000)
Sb (0.0000, 0.2836, 0.2836)
Sb (0.4810, 0.4810, 0.4810)
Sb (0.2836, 0.2836, 0.0000)
Sb (0.0000, 0.0000, 0.5190)
O (0.5179, 0.7217, 0.5179)
O (0.7026, 0.4978, 0.0000)
O (0.7952, 0.2974, 0.2974)
O (0.2038, 0.0000, 0.4821)
O (0.7962, 0.7962, 0.2783)
O (0.4978, 0.0000, 0.7026)
O (0.2783, 0.7962, 0.7962)
O (0.2974, 0.7952, 0.2974)
O (0.5179, 0.5179, 0.7217)
O (0.0000, 0.7026, 0.4978)
O (0.4821, 0.0000, 0.2038)
O (0.7217, 0.5179, 0.5179)
O (0.0000, 0.2038, 0.4821)
O (0.7962, 0.2783, 0.7962)
O (0.4821, 0.2038, 0.0000)
O (0.0000, 0.4978, 0.7026)
O (0.2048, 0.5022, 0.5022)
O (0.4978, 0.7026, 0.0000)
O (0.7026, 0.0000, 0.4978)
O (0.5022, 0.5022, 0.2048)
O (0.5022, 0.2048, 0.5022)
O (0.2038, 0.4821, 0.0000)
O (0.2974, 0.2974, 0.7952)
O (0.0000, 0.4821, 0.2038)

VASP calculation (GGA-PBE) on a relaxed Lu3SbO7 crystal.

Computed properties:
**E**: -7.79 eV per atom

abc: 6.3495 6.3495 7.3741
angles: 90.00 90.00 109.28
Fractional coordinates of all 22 atoms:
O (0.0711, 0.3255, 0.4673)
O (0.6385, 0.3615, 0.7500)
O (0.3282, 0.0777, 0.9698)
O (0.6306, 0.3694, 0.2500)
O (0.3615, 0.6385, 0.2500)
O (0.0777, 0.3282, 0.0302)
O (0.9223, 0.6718, 0.5302)
O (0.3694, 0.6306, 0.7500)
O (0.3255, 0.0711, 0.5327)
O (0.9244, 0.0756, 0.7500)
O (0.6745, 0.9289, 0.0327)
O (0.6718, 0.9223, 0.4698)
O (0.0756, 0.9244, 0.2500)
O (0.9289, 0.6745, 0.9673)
Sb (0.9999, 0.9999, 0.0000)
Sb (0.0001, 0.0001, 0.5000)
Lu (0.4687, 0.9987, 0.2514)
Lu (0.4926, 0.4926, 0.0000)
Lu (0.5313, 0.0013, 0.7514)
Lu (0.9987, 0.4687, 0.7486)
Lu (0.5074, 0.5074, 0.5000)
Lu (0.0013, 0.5313, 0.2486)

VASP calculation (GGA-PBE) on a relaxed LuSbO2 crystal.

Computed properties:
**E**: -6.01 eV per atom

abc: 3.7109 3.7109 6.7170
angles: 73.96 73.96 60.00
Fractional coordinates of all 4 atoms:
Sb (0.5000, 0.5000, 0.5000)
O (0.1106, 0.1106, 0.6683)
O (0.8894, 0.8894, 0.3317)
Lu (0.0000, 0.0000, 0.0000)

VASP calculation (GGA-PBE) on a relaxed LuSbO4 crystal.

Computed properties:
**E**: -7.17 eV per atom

abc: 5.3014 7.4857 7.5974
angles: 81.47 90.00 90.00
Fractional coordinates of all 24 atoms:
O (0.9755, 0.1142, 0.3186)
O (0.1079, 0.4360, 0.1740)
O (0.4054, 0.6898, 0.9289)
O (0.6079, 0.0640, 0.8260)
O (0.9054, 0.8102, 0.0711)
O (0.3921, 0.9360, 0.1740)
O (0.8921, 0.5640, 0.8260)
O (0.4755, 0.3858, 0.6814)
O (0.0946, 0.1898, 0.9289)
O (0.5245, 0.6142, 0.3186)
O (0.5310, 0.8221, 0.6083)
O (0.0245, 0.8858, 0.6814)
O (0.5946, 0.3102, 0.0711)
O (0.4690, 0.1779, 0.3917)
O (0.9690, 0.3221, 0.6083)
O (0.0310, 0.6779, 0.3917)
Lu (0.7279, 0.8808, 0.3540)
Lu (0.7721, 0.3808, 0.3540)
Lu (0.2279, 0.6192, 0.6460)
Lu (0.2721, 0.1192, 0.6460)
Sb (0.7658, 0.3103, 0.8356)
Sb (0.7342, 0.8103, 0.8356)
Sb (0.2342, 0.6897, 0.1644)
Sb (0.2658, 0.1897, 0.1644)

VASP calculation (GGA-PBE) on a relaxed LuSbO crystal.

Computed properties:
**E**: -6.56 eV per atom

abc: 3.4631 3.4631 6.9259
angles: 90.00 90.00 120.00
Fractional coordinates of all 3 atoms:
Lu (0.6667, 0.3333, 0.5683)
O (0.3333, 0.6667, 0.4781)
Sb (0.0000, 0.0000, 0.9536)

VASP calculation (GGA-PBE) on a relaxed LuScO3 crystal.

Computed properties:
**E**: -8.71 eV per atom

abc: 5.3647 5.6670 7.9519
angles: 90.00 90.00 90.00
Fractional coordinates of all 20 atoms:
O (0.8583, 0.5673, 0.2500)
O (0.3583, 0.9327, 0.7500)
O (0.3115, 0.6916, 0.0745)
O (0.6885, 0.3084, 0.9255)
O (0.8115, 0.8084, 0.5745)
O (0.8115, 0.8084, 0.9255)
O (0.1885, 0.1916, 0.4255)
O (0.1885, 0.1916, 0.0745)
O (0.6417, 0.0673, 0.2500)
O (0.3115, 0.6916, 0.4255)
O (0.6885, 0.3084, 0.5745)
O (0.1417, 0.4327, 0.7500)
Sc (0.0000, 0.5000, 0.5000)
Sc (0.5000, 0.0000, 0.0000)
Sc (0.0000, 0.5000, 0.0000)
Sc (0.5000, 0.0000, 0.5000)
Lu (0.4778, 0.4375, 0.2500)
Lu (0.0222, 0.9375, 0.2500)
Lu (0.9778, 0.0625, 0.7500)
Lu (0.5222, 0.5625, 0.7500)

VASP calculation (GGA-PBE) on a relaxed LuSc3O crystal.

Computed properties:
**E**: -6.74 eV per atom

abc: 4.6155 4.6155 4.6155
angles: 90.00 90.00 90.00
Fractional coordinates of all 5 atoms:
Lu (0.5000, 0.5000, 0.5000)
Sc (0.0000, 0.0000, 0.5000)
Sc (0.5000, 0.0000, 0.0000)
Sc (0.0000, 0.5000, 0.0000)
O (0.0000, 0.0000, 0.0000)

VASP calculation (GGA-PBE) on a relaxed LuScO crystal.

Computed properties:
**E**: -7.14 eV per atom

abc: 5.3805 3.3321 3.3321
angles: 120.00 90.00 90.00
Fractional coordinates of all 3 atoms:
Lu (0.5777, 0.3333, 0.6667)
O (0.3257, 0.6667, 0.3333)
Sc (0.0966, 0.0000, 0.0000)

VASP calculation (GGA-PBE) on a relaxed Lu2ScO crystal.

Computed properties:
**Excess energy over the best structure of this formula in the dataset**: 0.0 kJ/mol of atoms

abc: 3.3840 3.3840 8.4442
angles: 78.44 78.44 60.00
Fractional coordinates of all 4 atoms:
Lu (0.2778, 0.2778, 0.1666)
Lu (0.7222, 0.7222, 0.8334)
Sc (0.5000, 0.5000, 0.5000)
O (0.0000, 0.0000, 0.0000)